[1]
Density functional theory data (PBE) for KTaCu2F8 after structural relaxation.

- SG = R32, No. 155
- raw formation energy (eV per atom) = -2.3068
- uncorrected energy (eV for the cell shown) = -63.8

```
KTaCu2F8
1.0
4.9978 0.0000 0.0000
2.4989 4.3282 0.0000
2.4989 1.4427 8.6306
F Ta Cu K
8 1 2 1
direct
0.3433 0.3433 0.9702
0.7330 0.4938 0.6411
0.8680 0.5062 0.3589
0.1320 0.7330 0.6411
0.6567 0.6567 0.0298
0.4938 0.1320 0.6411
0.2670 0.8680 0.3589
0.5062 0.2670 0.3589
0.5000 0.5000 0.5000
0.7281 0.7281 0.8158
0.2719 0.2719 0.1842
0.0000 0.0000 0.0000
```

---

[2]
Density functional theory data (PBE) for K2TbCu3F12 after structural relaxation.

- SG = R-3m, No. 166
- raw formation energy (eV per atom) = -2.3638
- uncorrected energy (eV for the cell shown) = -84.1

```
K2TbCu3F12
1.0
6.9339 -0.3269 -0.2318
3.1401 6.1908 -0.2318
3.1401 1.8278 5.9193
Cu Tb F K
3 1 12 2
direct
0.0000 0.5000 0.0000
0.5000 0.0000 0.0000
0.0000 0.0000 0.5000
0.0000 0.0000 0.0000
0.1000 0.7242 0.7242
0.9000 0.2758 0.2758
0.6173 0.1215 0.1215
0.8785 0.3827 0.8785
0.7242 0.1000 0.7242
0.3827 0.8785 0.8785
0.1215 0.1215 0.6173
0.8785 0.8785 0.3827
0.2758 0.9000 0.2758
0.1215 0.6173 0.1215
0.2758 0.2758 0.9000
0.7242 0.7242 0.1000
0.3838 0.3838 0.3838
0.6162 0.6162 0.6162
```

---

[3]
Density functional theory data (PBE) for K2TbCuF6 after structural relaxation.

- SG = P2_1/c, No. 14
- raw formation energy (eV per atom) = -2.9393
- uncorrected energy (eV for the cell shown) = -103.1

```
K2TbCuF6
1.0
-3.0414 -2.4478 5.4235
2.8460 -6.1969 -1.2009
6.2873 2.0253 4.4493
K Tb F Cu
4 2 12 2
direct
0.4962 0.5477 0.7520
0.9962 0.9523 0.2520
0.0038 0.0477 0.7480
0.5038 0.4523 0.2480
0.0000 0.5000 0.5000
0.5000 0.0000 0.0000
0.3593 0.7189 0.0403
0.2877 0.6433 0.4671
0.9274 0.5380 0.2267
0.7877 0.8567 0.9671
0.8593 0.7811 0.5403
0.0726 0.4620 0.7733
0.6407 0.2811 0.9597
0.4274 0.9620 0.7267
0.1407 0.2189 0.4597
0.2123 0.1433 0.0329
0.7123 0.3567 0.5329
0.5726 0.0380 0.2733
0.0000 0.5000 0.0000
0.5000 0.0000 0.5000
```

---

[4]
Density functional theory data (PBE) for KCuTeF6 after structural relaxation.

- SG = P1, No. 1
- raw formation energy (eV per atom) = -2.0494
- uncorrected energy (eV for the cell shown) = -38.0

```
KCuTeF6
1.0
5.9277 -0.0082 0.2556
2.9569 4.7460 0.3351
0.2590 0.2784 5.8654
F K Cu Te
6 1 1 1
direct
0.4348 0.8969 0.7594
0.1174 0.4782 0.7528
0.6474 0.2598 0.6275
0.5570 0.2538 0.1765
0.2625 0.6889 0.3949
0.9417 0.5146 0.3071
0.0156 0.9166 0.9740
0.6770 0.6925 0.5341
0.3463 0.2989 0.4737
```

---

[5]
Density functional theory data (PBE) for KTiCu2F8 after structural relaxation.

- SG = R32, No. 155
- raw formation energy (eV per atom) = -2.3332
- uncorrected energy (eV for the cell shown) = -60.2

```
KTiCu2F8
1.0
-4.0405 -2.7546 -1.0549
-0.2017 -2.6157 -4.2596
2.0599 -8.3701 2.1046
Ti F K Cu
1 8 1 2
direct
0.5000 0.5000 0.5000
0.4653 0.1497 0.6448
0.3311 0.3311 0.0067
0.2597 0.8503 0.3552
0.8503 0.5347 0.3552
0.7403 0.4653 0.6448
0.5347 0.2597 0.3552
0.6689 0.6689 0.9933
0.1497 0.7403 0.6448
0.0000 0.0000 0.0000
0.2578 0.2578 0.2266
0.7422 0.7422 0.7734
```

---

[6]
Density functional theory data (PBE) for K2TiCuF6 after structural relaxation.

- SG = Fm-3m, No. 225
- raw formation energy (eV per atom) = -2.6467
- uncorrected energy (eV for the cell shown) = -51.9

```
K2TiCuF6
1.0
-0.9043 3.7829 4.5173
0.9600 5.8339 -0.7602
-4.6044 3.7828 -0.1565
F K Ti Cu
6 2 1 1
direct
0.2368 0.7632 0.2368
0.7632 0.7632 0.2368
0.7632 0.2368 0.2368
0.2368 0.7632 0.7632
0.2368 0.2368 0.7632
0.7632 0.2368 0.7632
0.7500 0.7500 0.7500
0.2500 0.2500 0.2500
0.0000 0.0000 0.0000
0.5000 0.5000 0.5000
```